Below is BaSi4Tc4 after structural relaxation, with properties calculated at the PBE level. Values from VASP.

## Properties
M_tot	0.00	μB per formula unit
formation energy from raw total energies	-361	kJ/mol of formula units

Cell and atoms, written as Quantum ESPRESSO input:
```
&SYSTEM
  ibrav = 0, nat = 18, ntyp = 3
/
ATOMIC_SPECIES
Ba 137.33 Ba.upf
Si 28.09 Si.upf
Tc 98.00 Tc.upf
CELL_PARAMETERS angstrom
-1.6666 -1.8439 -3.9362
6.7782 -4.7613 -0.6396
-3.7725 -5.9602 4.3894
ATOMIC_POSITIONS crystal
Ba 0.0000 0.0000 0.0000
Ba 0.5000 0.5000 0.5000
Si 0.5836 0.8432 0.3064
Si 0.5836 0.1568 0.6936
Si 0.0836 0.8064 0.6568
Si 0.9164 0.3432 0.8064
Si 0.9164 0.6568 0.1936
Si 0.4164 0.3064 0.1568
Si 0.4164 0.6936 0.8432
Si 0.0836 0.1936 0.3432
Tc 0.4105 0.3783 0.8784
Tc 0.9105 0.6216 0.8783
Tc 0.4105 0.6217 0.1216
Tc 0.0895 0.1217 0.6216
Tc 0.5895 0.8784 0.6217
Tc 0.0895 0.8783 0.3784
Tc 0.9105 0.3784 0.1217
Tc 0.5895 0.1216 0.3783
```

***

Below is Ba2SiTc after structural relaxation, with properties calculated at the PBE level. Values from VASP.

## Properties
M_tot	0.00	μB per formula unit
formation energy from raw total energies	53	kJ/mol of formula units

Cell and atoms, written as Quantum ESPRESSO input:
```
&SYSTEM
  ibrav = 0, nat = 4, ntyp = 3
/
ATOMIC_SPECIES
Ba 137.33 Ba.upf
Si 28.09 Si.upf
Tc 98.00 Tc.upf
CELL_PARAMETERS angstrom
6.8705 0.0581 -0.0194
3.6698 5.8086 0.0194
-4.9142 -3.5728 3.2083
ATOMIC_POSITIONS crystal
Ba 0.0109 0.0109 0.0000
Ba 0.7291 0.2291 0.5000
Si 0.4269 0.4269 0.0000
Tc 0.3331 0.8331 0.5000
```

***

Below is BaSi2Tc2 after structural relaxation, with properties calculated at the PBE level. Values from VASP.

## Properties
M_tot	0.00	μB per formula unit
formation energy from raw total energies	2	kJ/mol of formula units
energy relative to the lowest polymorph listed for this composition	0.00	eV/f.u.

Cell and atoms, written as Quantum ESPRESSO input:
```
&SYSTEM
  ibrav = 0, nat = 5, ntyp = 3
/
ATOMIC_SPECIES
Si 28.09 Si.upf
Ba 137.33 Ba.upf
Tc 98.00 Tc.upf
CELL_PARAMETERS angstrom
4.4971 0.0000 0.0000
0.0000 4.4971 0.0000
2.2485 2.2485 4.9047
ATOMIC_POSITIONS crystal
Si 0.7500 0.2500 0.5000
Si 0.2500 0.7500 0.5000
Ba 0.0000 0.0000 0.0000
Tc 0.3785 0.3785 0.2430
Tc 0.6215 0.6215 0.7570
```

***

Below is Ba2SiTc after structural relaxation, with properties calculated at the PBE level. Values from VASP.

## Properties
M_tot	0.00	μB per formula unit
formation energy from raw total energies	36	kJ/mol of formula units

Cell and atoms, written as Quantum ESPRESSO input:
```
&SYSTEM
  ibrav = 0, nat = 4, ntyp = 3
/
ATOMIC_SPECIES
Ba 137.33 Ba.upf
Si 28.09 Si.upf
Tc 98.00 Tc.upf
CELL_PARAMETERS angstrom
-2.1703 0.3930 3.6042
3.6415 -2.2613 2.4393
4.5443 4.3760 2.2592
ATOMIC_POSITIONS crystal
Ba 0.0000 0.9835 0.9082
Ba 0.5000 0.2630 0.3488
Si 0.0000 0.6714 0.5322
Tc 0.5000 0.5821 0.7109
```